1.
A plane-wave DFT calculation with PBE was carried out for an optimized crystal structure of NaPSe2.

```
NaPSe2
1.0
1.9098 1.1026 8.2485
-1.9098 1.1026 8.2485
0.0000 -2.2052 8.2485
Na P Se
1 1 2
direct
0.0000 0.0000 0.0000
0.5000 0.5000 0.5000
0.1094 0.1094 0.1094
0.8906 0.8906 0.8906
```

Values from the calculation:
Formation energy from raw total energies = -0.60 eV/f.u.

2.
A plane-wave DFT calculation with PBE was carried out for an optimized crystal structure of AlGa3O.

```
AlGa3O
1.0
4.8743 0.0000 0.0000
0.0000 4.8743 0.0000
0.0000 0.0000 4.8743
Al Ga O
1 3 1
direct
0.0000 0.0000 0.0000
0.0000 0.0000 0.5000
0.0000 0.5000 0.0000
0.5000 0.0000 0.0000
0.5000 0.5000 0.5000
```

Values from the calculation:
Energy relative to the lowest polymorph listed for this composition = 683.6 meV/atom
Formation energy from raw total energies = 2.87 eV/f.u.

3.
A plane-wave DFT calculation with PBE was carried out for an optimized crystal structure of CePm2Y3Te6.

```
CePm2Y3Te6
1.0
9.6615 -2.1931 0.0000
9.6615 2.1931 0.0000
-2.1625 0.0000 8.6538
Ce Pm Y Te
1 2 3 6
direct
0.0000 0.0000 0.0000
0.3340 0.3340 0.6685
0.6660 0.6660 0.3315
0.0000 0.0000 0.5000
0.3325 0.3325 0.1660
0.6675 0.6675 0.8340
0.1651 0.1651 0.5879
0.1688 0.1688 0.0783
0.4975 0.4975 0.2561
0.5025 0.5025 0.7439
0.8312 0.8312 0.9217
0.8349 0.8349 0.4121
```

Values from the calculation:
Formation energy from raw total energies = -16.30 eV/f.u.

4.
A plane-wave DFT calculation with PBE was carried out for an optimized crystal structure of Nd2PuTh.

```
Nd2PuTh
1.0
3.5706 0.0000 0.0000
0.0000 3.5706 0.0000
0.0000 0.0000 10.2699
Nd Pu Th
2 1 1
direct
0.0000 0.0000 0.2484
0.0000 0.0000 0.7516
0.5000 0.5000 0.5000
0.5000 0.5000 0.0000
```

Values from the calculation:
Energy relative to the lowest polymorph listed for this composition = 0.7 meV/atom
Energy of formation = 0.1560 eV per atom

5.
A plane-wave DFT calculation with PBE was carried out for an optimized crystal structure of CaTmCdCu.

```
CaTmCdCu
1.0
0.0000 3.6234 3.6234
3.6234 0.0000 3.6234
3.6234 3.6234 0.0000
Ca Tm Cd Cu
1 1 1 1
direct
0.0000 0.0000 0.0000
0.5000 0.5000 0.5000
0.2500 0.2500 0.2500
0.7500 0.7500 0.7500
```

Values from the calculation:
Energy of formation = -0.1773 eV per atom

6.
A plane-wave DFT calculation with PBE was carried out for an optimized crystal structure of ZnAs3Pt.

```
ZnAs3Pt
1.0
4.9516 0.0000 0.0000
0.0000 4.9516 0.0000
0.0000 0.0000 4.9516
Zn As Pt
1 3 1
direct
0.0000 0.0000 0.0000
0.0000 0.5000 0.5000
0.5000 0.0000 0.5000
0.5000 0.5000 0.0000
0.5000 0.5000 0.5000
```

Values from the calculation:
Energy of formation = 0.6642 eV per atom

7.
A plane-wave DFT calculation with PBE was carried out for an optimized crystal structure of K2HfAs.

```
K2HfAs
1.0
-6.2045 6.2045 2.5676
6.2045 -6.2045 2.5676
6.2045 6.2045 -2.5676
K Hf As
4 2 2
direct
0.3750 0.0324 0.1574
0.7824 0.6250 0.6574
0.8750 0.2176 0.8426
0.9676 0.1250 0.3426
0.2500 0.7500 0.5000
0.5000 0.5000 0.0000
0.0000 0.0000 0.0000
0.7500 0.2500 0.5000
```

Values from the calculation:
Energy of formation = 0.2593 eV per atom

no.,magnetization (μB/cell),E_tot (eV/atom)
1,0.00,-3.574
2,0.00,-2.982
3,1.33,-5.832
4,6.67,-7.666
5,0.00,-3.048
6,0.00,-3.588
7,1.64,-3.940